[1]
Density functional theory data (GGA-PBE) for CaTl3Cu after structural relaxation.

a = 6.0011 Å, b = 6.0011 Å, c = 6.0011 Å
α = 90.00°, β = 90.00°, γ = 90.00°
Space group Pm-3m (No. 221)
Asymmetric unit:
Ca: 0.0000 0.0000 0.0000
Tl: 0.0000 0.0000 0.5000
Cu: 0.5000 0.5000 0.5000

## Properties
Relative energy among the computed polymorphs in eV per atom: 0.8042
Raw total energy in eV per atom: -1.797


[2]
Density functional theory data (GGA-PBE) for CaTl2Cu after structural relaxation.

a = 3.7591 Å, b = 5.5293 Å, c = 9.7709 Å
α = 90.00°, β = 90.00°, γ = 90.00°
Space group Immm (No. 71)
Asymmetric unit:
Ca: 0.0000 0.0000 0.0000
Tl: 0.0000 0.5000 0.2125
Cu: 0.0000 0.0000 0.5000

## Properties
Raw total energy in eV per atom: -2.781


[3]
Density functional theory data (GGA-PBE) for Ca2TlCu after structural relaxation.

a = 6.7858 Å, b = 4.0068 Å, c = 9.0166 Å
α = 90.00°, β = 105.58°, γ = 90.00°
Space group C2/m (No. 12)
Asymmetric unit:
Ca: 0.2374 0.0000 0.2120
Tl: 0.0000 0.0000 0.5000
Cu: 0.0000 0.5000 0.0000

## Properties
Raw total energy in eV per atom: -2.717


[4]
Density functional theory data (GGA-PBE) for Ca2Tl2Cu after structural relaxation.

a = 4.7478 Å, b = 4.7478 Å, c = 14.1155 Å
α = 90.00°, β = 90.00°, γ = 90.00°
Space group I4/mmm (No. 139)
Asymmetric unit:
Ca: 0.0000 0.5000 0.2500
Tl: 0.0000 0.0000 0.0977
Cu: 0.0000 0.0000 0.5000

## Properties
Relative energy among the computed polymorphs in eV per atom: 0.5281
Raw total energy in eV per atom: -2.188


[5]
Density functional theory data (GGA-PBE) for CaTl2Cu after structural relaxation.

a = 4.5640 Å, b = 4.6622 Å, c = 4.6570 Å
α = 90.00°, β = 90.34°, γ = 90.00°
Space group P2/m (No. 10)
Asymmetric unit:
Ca: 0.0000 0.0000 0.0000
Tl: 0.5000 0.0000 0.5000
Tl: 0.5000 0.5000 0.0000
Cu: 0.0000 0.5000 0.5000

## Properties
Raw total energy in eV per atom: -2.734


[6]
Density functional theory data (GGA-PBE) for CaTl2Cu after structural relaxation.

a = 3.8824 Å, b = 4.3863 Å, c = 6.2929 Å
α = 90.00°, β = 105.26°, γ = 90.00°
Space group P2/m (No. 10)
Asymmetric unit:
Ca: 0.0000 0.0000 0.0000
Tl: 0.3434 0.5000 0.7181
Cu: 0.5000 0.0000 0.5000

## Properties
Raw total energy in eV per atom: -2.766


[7]
Density functional theory data (GGA-PBE) for CaTl2Cu2 after structural relaxation.

a = 4.5055 Å, b = 4.5055 Å, c = 11.2952 Å
α = 90.00°, β = 90.00°, γ = 90.00°
Space group I4/mmm (No. 139)
Asymmetric unit:
Ca: 0.0000 0.0000 0.0000
Tl: 0.0000 0.5000 0.2500
Cu: 0.0000 0.0000 0.3956

## Properties
Relative energy among the computed polymorphs in eV per atom: 0.0000
Raw total energy in eV per atom: -2.985


[8]
Density functional theory data (GGA-PBE) for CaTl2Cu after structural relaxation.

a = 6.4909 Å, b = 10.7657 Å, c = 3.6179 Å
α = 90.00°, β = 121.94°, γ = 90.00°
Space group C2/m (No. 12)
Asymmetric unit:
Ca: 0.0000 0.0000 0.0000
Tl: 0.2500 0.2500 0.5000
Cu: 0.0000 0.5000 0.0000

## Properties
Raw total energy in eV per atom: -2.611


[9]
Density functional theory data (GGA-PBE) for CaTl2Cu after structural relaxation.

a = 7.9256 Å, b = 4.6452 Å, c = 6.2000 Å
α = 90.00°, β = 115.97°, γ = 90.00°
Space group C2/m (No. 12)
Asymmetric unit:
Ca: 0.0000 0.0000 0.0000
Tl: 0.2238 0.0000 0.6689
Cu: 0.0000 0.5000 0.5000

## Properties
Raw total energy in eV per atom: -2.792


[10]
Density functional theory data (GGA-PBE) for Ca2TlCu after structural relaxation.

a = 3.6312 Å, b = 5.2392 Å, c = 11.1754 Å
α = 90.00°, β = 90.00°, γ = 90.00°
Space group Imm2 (No. 44)
Asymmetric unit:
Ca: 0.0000 0.0000 0.0000
Ca: 0.0000 0.5000 0.2026
Tl: 0.0000 0.0000 0.4167
Cu: 0.0000 0.5000 0.7248

## Properties
Raw total energy in eV per atom: -2.774


[11]
Density functional theory data (GGA-PBE) for CaTmTlCu after structural relaxation.

a = 7.3193 Å, b = 7.3193 Å, c = 7.3193 Å
α = 90.00°, β = 90.00°, γ = 90.00°
Space group F-43m (No. 216)
Asymmetric unit:
Ca: 0.0000 0.0000 0.0000
Tm: 0.0000 0.0000 0.5000
Tl: 0.2500 0.2500 0.2500
Cu: 0.2500 0.2500 0.7500

## Properties
Raw total energy in eV per atom: -3.450


[12]
Density functional theory data (GGA-PBE) for Ca2TlZnCu after structural relaxation.

a = 5.5440 Å, b = 5.5440 Å, c = 4.5925 Å
α = 90.00°, β = 90.00°, γ = 90.00°
Space group P4/mmm (No. 123)
Asymmetric unit:
Ca: 0.0000 0.5000 0.0000
Tl: 0.0000 0.0000 0.5000
Zn: 0.5000 0.5000 0.5000
Cu: 0.5000 0.5000 0.0000

## Properties
Raw total energy in eV per atom: -2.436


Number 1: calculated formation energy 4.2 eV per formula unit. Number 2: calculated formation energy -0.3 eV per formula unit. Number 3: calculated formation energy -0.4 eV per formula unit. Number 4: calculated formation energy 1.9 eV per formula unit. Number 5: calculated formation energy -0.1 eV per formula unit. Number 6: calculated formation energy -0.2 eV per formula unit. Number 7: calculated formation energy 0.0 eV per formula unit. Number 8: calculated formation energy 0.4 eV per formula unit. Number 9: calculated formation energy -0.3 eV per formula unit. Number 10: calculated formation energy -0.6 eV per formula unit. Number 11: calculated formation energy -0.9 eV per formula unit. Number 12: calculated formation energy -0.4 eV per formula unit.